DFT (PBE) results for a relaxed TlPClF6 crystal.

```
TlPClF6
1.0
-5.3331 2.6033 4.2673
-6.9157 -0.9215 1.1640
1.7904 -1.6048 4.2599
P F Cl Tl
1 6 1 1
Direct
0.3260 0.3399 0.4803
0.9981 0.5443 0.4504
0.3665 0.0883 0.5471
0.6469 0.1476 0.5145
0.2820 0.5934 0.4090
0.1377 0.5655 0.8362
0.5112 0.1140 0.1245
0.1000 0.0507 0.0586
0.6314 0.5562 0.5792
```

Results
The formation energy (no corrections) comes out at -2094 meV/atom. As for the crystal system: triclinic.



DFT (PBE) results for a relaxed TlP2ClF crystal.

```
TlP2ClF
1.0
4.2789 0.0000 0.0000
0.0000 4.2789 0.0000
0.0000 0.0000 6.2881
P Cl Tl F
2 1 1 1
Direct
0.0000 0.5000 0.0000
0.5000 0.0000 0.0000
0.0000 0.0000 0.5000
0.5000 0.5000 0.5000
0.0000 0.0000 0.0000
```

Results
The formation energy (no corrections) comes out at 217 meV/atom. As for the energy relative to the lowest polymorph listed for this composition: 0 meV per atom. As for the crystal system: tetragonal.



DFT (PBE) results for a relaxed Tl2PClF6 crystal.

```
Tl2PClF6
1.0
5.1847 0.0000 0.0000
2.5924 4.4901 0.0000
2.5924 1.4967 17.0151
P F Cl Tl
2 12 2 4
Direct
0.0000 0.0000 0.0000
0.5000 0.5000 0.5000
0.2785 0.8328 0.0559
0.1672 0.1672 0.9441
0.1672 0.7215 0.9441
0.1837 0.6303 0.5557
0.6303 0.6303 0.5557
0.3697 0.8163 0.4443
0.8328 0.2785 0.0559
0.8328 0.8328 0.0559
0.3697 0.3697 0.4443
0.6303 0.1837 0.5557
0.7215 0.1672 0.9441
0.8163 0.3697 0.4443
0.4160 0.4160 0.7520
0.5840 0.5840 0.2480
0.2818 0.2818 0.1546
0.8854 0.8854 0.3439
0.1146 0.1146 0.6561
0.7182 0.7182 0.8454
```

Results
The formation energy (no corrections) comes out at -2168 meV/atom. As for the crystal system: trigonal.



Record order is preserved below.
Raw total energy: -4.411, -3.164, -4.489 eV per atom